# SbPRhO2 (GGA-PBE, optimized geometry)
# Raw formation energy: -0.070 eV/atom
# E above lowest polymorph: 0.000 eV/atom
# Density: 6.28 g cm⁻³
# Space-group type: P4/mmm (123)
# E_tot: -5.430 eV per atom
data_SbPRhO2
_chemical_formula_sum 'Sb1 P1 Rh1 O2'
_space_group_name_H-M_alt 'P 1'
_space_group_IT_number 1
_cell_length_a 3.9405
_cell_length_b 3.9405
_cell_length_c 4.8983
_cell_angle_alpha 90.00
_cell_angle_beta 90.00
_cell_angle_gamma 90.00
loop_
_space_group_symop_operation_xyz
'x,y,z'
loop_
_atom_site_label
_atom_site_fract_x
_atom_site_fract_y
_atom_site_fract_z
Sb1 0.5000 0.5000 0.5000
Rh1 0.0000 0.0000 0.0000
O1 0.0000 0.5000 0.0000
O2 0.5000 0.0000 0.0000
P1 0.0000 0.0000 0.5000